Entry from the Alexandria database: K2RbCd2 after structural relaxation (PBEsol).

The structure in CIF format:
```
data_K2RbCd2
_cell_length_a 9.409
_cell_length_b 9.409
_cell_length_c 4.993
_cell_angle_alpha 90.00
_cell_angle_beta 90.00
_cell_angle_gamma 90.00
_space_group_name_H-M_alt 'P 4/m b m'
_space_group_IT_number 127
_space_group_name_Hall '-P 4 2ab'
loop_
_atom_site_label
_atom_site_fract_x
_atom_site_fract_y
_atom_site_fract_z
_atom_site_occupancy
K1 0.173 0.327 0.000 1
Rb1 0.000 0.000 0.500 1
Cd1 0.108 0.608 0.500 1
```

Uncorrected energy (eV/atom): -1.10
Volume (Å³ per cell): 442.06
Energy relative to the elements (eV/f.u.): 0.2

Entry from the Alexandria database: KRb2Cd2 after structural relaxation (PBEsol).

The structure in CIF format:
```
data_KRb2Cd2
_cell_length_a 9.255
_cell_length_b 9.255
_cell_length_c 5.445
_cell_angle_alpha 90.00
_cell_angle_beta 90.00
_cell_angle_gamma 90.00
_space_group_name_H-M_alt 'P 4/m b m'
_space_group_IT_number 127
_space_group_name_Hall '-P 4 2ab'
loop_
_atom_site_label
_atom_site_fract_x
_atom_site_fract_y
_atom_site_fract_z
_atom_site_occupancy
K1 0.000 0.000 0.000 1
Rb1 0.174 0.326 0.500 1
Cd1 0.111 0.611 0.000 1
```

Uncorrected energy (eV/atom): -1.08
Volume (Å³ per cell): 466.40
Energy relative to the elements (eV/f.u.): 0.2

Entry from the Alexandria database: KRb2Cd after structural relaxation (PBEsol).

The structure in CIF format:
```
data_KRb2Cd
_cell_length_a 9.483
_cell_length_b 9.483
_cell_length_c 9.483
_cell_angle_alpha 90.00
_cell_angle_beta 90.00
_cell_angle_gamma 90.00
_space_group_name_H-M_alt 'F m -3 m'
_space_group_IT_number 225
_space_group_name_Hall '-F 4 2 3'
loop_
_atom_site_label
_atom_site_fract_x
_atom_site_fract_y
_atom_site_fract_z
_atom_site_occupancy
K1 0.000 0.000 0.000 1
Rb1 0.250 0.250 0.250 1
Cd1 0.000 0.000 0.500 1
```

Uncorrected energy (eV/atom): -1.01
Volume (Å³ per cell): 852.74
Energy relative to the elements (eV/f.u.): 0.4

Entry from the Alexandria database: K3RbCd after structural relaxation (PBEsol).

The structure in CIF format:
```
data_K3RbCd
_cell_length_a 6.852
_cell_length_b 6.852
_cell_length_c 6.852
_cell_angle_alpha 90.00
_cell_angle_beta 90.00
_cell_angle_gamma 90.00
_space_group_name_H-M_alt 'P m -3 m'
_space_group_IT_number 221
_space_group_name_Hall '-P 4 2 3'
loop_
_atom_site_label
_atom_site_fract_x
_atom_site_fract_y
_atom_site_fract_z
_atom_site_occupancy
K1 0.000 0.000 0.500 1
Rb1 0.500 0.500 0.500 1
Cd1 0.000 0.000 0.000 1
```

Uncorrected energy (eV/atom): -1.06
Volume (Å³ per cell): 321.72
Energy relative to the elements (eV/f.u.): 0.3